Below is an optimized crystal structure of Na2Sr2Br, with properties calculated at the PBE level.

The structure in extended XYZ format:
```
10
Lattice="-2.245 7.324 2.731 -7.787 -2.342 -0.122 0.545 -2.136 6.176" Properties=species:S:1:pos:R:3 pbc="T T T"
Sr -1.799 0.939 3.965
Sr -7.688 1.907 4.820
Sr -4.148 4.232 5.311
Sr -5.338 -1.386 3.473
Na -6.957 4.726 2.249
Na -3.076 0.256 0.360
Na -7.429 0.585 0.858
Na -2.603 4.397 1.751
Br -5.016 2.491 1.305
Br 0.000 0.000 0.000
```

Space group: P4/mbm (127)
ΔE_f (raw), eV/atom: -0.34
DOS at the Fermi energy, states/eV/cell: 6.8
Volume, Å³/f.u.: 216.8